This record from the Alexandria database describes crystalline LiLuRuPt at its relaxed geometry. The functional is PBE-GGA. Values from VASP.

Geometry as Quantum ESPRESSO input:
```
&SYSTEM
  ibrav = 0, nat = 4, ntyp = 4
/
ATOMIC_SPECIES
Li 6.94 Li.upf
Lu 174.97 Lu.upf
Ru 101.07 Ru.upf
Pt 195.08 Pt.upf
ATOMIC_POSITIONS angstrom
Li 0.0000 0.0000 0.0000
Lu 3.1932 3.1932 3.1932
Ru 1.5966 1.5966 1.5966
Pt 4.7898 4.7898 4.7898
CELL_PARAMETERS angstrom
0.0000 3.1932 3.1932
3.1932 0.0000 3.1932
3.1932 3.1932 0.0000
```

Values from the calculation:
- Space group: F-43m, No. 216
- Calculated density: 12.19 g/cm3
- Total moment: 0.00 Bohr magnetons per cell
- E: -5.8879 eV per atom